# 1
Material: NaTlPO4
Method: DFT, PBE-GGA
State: optimized geometry

a b c (Å): 6.418 6.393 6.393
angles (deg): 60.44 59.87 59.87
Positions (direct):
O (0.721, 0.732, 0.826)
P (0.627, 0.623, 0.123)
O (0.279, 0.674, 0.768)
Na (0.000, 0.000, 0.500)
Tl (0.000, 0.000, 0.000)
Tl (0.000, 0.500, 0.500)
O (0.324, 0.730, 0.230)
Na (0.500, 0.000, 0.500)
O (0.721, 0.326, 0.232)
P (0.373, 0.377, 0.877)
O (0.283, 0.270, 0.770)
O (0.717, 0.730, 0.230)
O (0.279, 0.268, 0.174)
O (0.676, 0.270, 0.770)

Summary:
**Formation energy (no corrections)**: -1.65 eV per atom
**E_tot**: -5.787 eV per atom

---

# 2
Material: NaTlP2O6
Method: DFT, PBE-GGA
State: optimized geometry

a b c (Å): 4.661 8.344 8.344
angles (deg): 97.62 88.18 88.18
Positions (direct):
O (0.446, 0.637, 0.705)
P (0.739, 0.212, 0.360)
Tl (0.250, 0.879, 0.121)
Na (0.750, 0.655, 0.345)
O (0.054, 0.295, 0.363)
P (0.761, 0.640, 0.788)
O (0.349, 0.793, 0.467)
P (0.239, 0.360, 0.212)
O (0.760, 0.764, 0.936)
P (0.261, 0.788, 0.640)
Tl (0.750, 0.121, 0.879)
O (0.849, 0.467, 0.793)
O (0.240, 0.236, 0.064)
O (0.554, 0.363, 0.295)
O (0.946, 0.705, 0.637)
O (0.151, 0.533, 0.207)
O (0.260, 0.936, 0.764)
O (0.740, 0.064, 0.236)
O (0.651, 0.207, 0.533)
Na (0.250, 0.345, 0.655)

Summary:
**Formation energy (no corrections)**: -1.98 eV per atom
**E_tot**: -6.410 eV per atom

---

# 3
Material: NaTlP2O
Method: DFT, PBE-GGA
State: optimized geometry

a b c (Å): 5.282 5.282 4.394
angles (deg): 90.00 90.00 90.00
Site moments in Bohr magnetons follow the coordinates.
Positions (direct):
Tl (0.000, 0.000, 0.000)  0.00
Na (0.500, 0.500, 0.500)  0.00
O (0.000, 0.000, 0.500)  0.41
P (0.500, 0.000, 0.000)  0.42
P (0.000, 0.500, 0.000)  0.42

Summary:
**Polymorph energy (0 for the lowest one)**: 0.000 eV/atom
**Formation energy (no corrections)**: 0.65 eV per atom
**E_tot**: -3.244 eV per atom

---

# 4
Material: NaTlPO2
Method: DFT, PBE-GGA
State: optimized geometry

a b c (Å): 4.417 4.417 5.232
angles (deg): 90.00 90.00 90.00
Site moments in Bohr magnetons follow the coordinates.
Positions (direct):
O (0.500, 0.000, 0.000)  0.47
O (0.000, 0.500, 0.000)  0.47
P (0.000, 0.000, 0.500)  0.66
Na (0.500, 0.500, 0.500)  0.01
Tl (0.000, 0.000, 0.000)  0.00

Summary:
**Polymorph energy (0 for the lowest one)**: 0.000 eV/atom
**Formation energy (no corrections)**: 0.25 eV per atom
**E_tot**: -3.555 eV per atom

---

# 5
Material: NaTlPO2
Method: DFT, PBE-GGA
State: optimized geometry

a b c (Å): 4.247 4.247 5.381
angles (deg): 90.00 90.00 90.00
Site moments in Bohr magnetons follow the coordinates.
Positions (direct):
O (0.500, 0.000, 0.000)  1.04
Tl (0.500, 0.500, 0.500)  0.01
Na (0.000, 0.000, 0.000)  0.00
O (0.000, 0.500, 0.000)  1.04
P (0.000, 0.000, 0.500)  0.53

Summary:
**Polymorph energy (0 for the lowest one)**: 0.293 eV/atom
**Formation energy (no corrections)**: 0.54 eV per atom
**E_tot**: -3.262 eV per atom

---

# 6
Material: Na4Tl3PO8
Method: DFT, PBE-GGA
State: optimized geometry

a b c (Å): 6.844 6.567 7.040
angles (deg): 118.50 119.08 90.00
Positions (direct):
Tl (0.500, 0.500, 0.500)
Tl (0.500, 0.500, 0.000)
O (0.169, 0.681, 0.002)
Na (0.500, 0.000, 0.000)
P (0.000, 0.500, 0.000)
O (0.237, 0.262, 0.474)
O (0.167, 0.319, 0.998)
O (0.833, 0.681, 0.002)
O (0.720, 0.239, 0.440)
O (0.831, 0.319, 0.998)
Tl (0.000, 0.500, 0.500)
O (0.763, 0.738, 0.526)
Na (0.000, 0.000, 0.500)
O (0.280, 0.761, 0.560)
Na (0.500, 0.000, 0.500)
Na (0.000, 0.000, 0.000)

Summary:
**Formation energy (no corrections)**: -1.15 eV per atom
**E_tot**: -4.746 eV per atom

---

# 7
Material: Na3Tl3PO8
Method: DFT, PBE-GGA
State: optimized geometry

a b c (Å): 6.634 6.634 6.769
angles (deg): 119.35 90.00 120.00
Positions (direct):
O (0.812, 0.624, 0.313)
Tl (0.500, 0.500, 0.500)
O (0.812, 0.001, 0.313)
P (0.000, 0.000, 0.500)
Tl (0.000, 0.500, 0.500)
Na (0.000, 0.000, 0.000)
O (0.742, 0.484, 0.727)
O (0.811, 0.999, 0.687)
Tl (0.500, 0.000, 0.500)
O (0.188, 0.999, 0.687)
O (0.189, 0.001, 0.313)
Na (0.000, 0.500, 0.000)
O (0.258, 0.516, 0.273)
O (0.188, 0.376, 0.687)
Na (0.500, 0.500, 0.000)

Summary:
**Formation energy (no corrections)**: -1.21 eV per atom
**E_tot**: -4.956 eV per atom

---

# 8
Material: NaTlP2O
Method: DFT, PBE-GGA
State: optimized geometry

a b c (Å): 5.089 5.089 4.133
angles (deg): 90.00 90.00 90.00
Site moments in Bohr magnetons follow the coordinates.
Positions (direct):
P (0.000, 0.500, 0.000)  0.24
P (0.500, 0.000, 0.000)  0.24
Tl (0.500, 0.500, 0.500)  0.01
O (0.000, 0.000, 0.500)  0.79
Na (0.000, 0.000, 0.000)  0.00

Summary:
**Polymorph energy (0 for the lowest one)**: 0.256 eV/atom
**Formation energy (no corrections)**: 0.90 eV per atom
**E_tot**: -2.988 eV per atom

---

# 9
Material: Na2TmP2O6
Method: DFT, PBE-GGA
State: optimized geometry

a b c (Å): 5.598 5.598 5.901
angles (deg): 90.00 90.00 120.00
Site moments in Bohr magnetons follow the coordinates.
Positions (direct):
P (0.667, 0.333, 0.131)  0.11
Na (0.667, 0.333, 0.630)  0.00
O (0.632, 0.858, 0.768)  0.07
O (0.858, 0.226, 0.232)  0.07
Na (0.333, 0.667, 0.370)  0.00
O (0.226, 0.368, 0.768)  0.07
O (0.774, 0.632, 0.232)  0.07
P (0.333, 0.667, 0.869)  0.11
O (0.142, 0.774, 0.768)  0.07
O (0.368, 0.142, 0.232)  0.07
Tm (0.000, 0.000, 0.000)  -0.01

Summary:
**Formation energy (no corrections)**: -2.24 eV per atom
**E_tot**: -6.573 eV per atom

---

# 10
Material: NaTmP2O8
Method: DFT, PBE-GGA
State: optimized geometry

a b c (Å): 5.781 5.781 5.781
angles (deg): 106.18 106.18 116.28
Site moments in Bohr magnetons follow the coordinates.
Positions (direct):
O (0.785, 0.103, 0.682)  0.21
Tm (0.000, 0.000, 0.000)  -0.03
O (0.485, 0.659, 0.826)  0.23
O (0.897, 0.215, 0.318)  0.21
Na (0.250, 0.750, 0.500)  0.00
O (0.341, 0.168, 0.826)  0.23
O (0.341, 0.515, 0.174)  0.23
P (0.500, 0.500, 0.000)  -0.02
P (0.750, 0.250, 0.500)  -0.02
O (0.832, 0.659, 0.174)  0.23
O (0.897, 0.579, 0.682)  0.21
O (0.421, 0.103, 0.318)  0.21

Summary:
**Formation energy (no corrections)**: -2.26 eV per atom
**E_tot**: -6.951 eV per atom

---

# 11
Material: NaUPO6
Method: DFT, PBE-GGA
State: optimized geometry

a b c (Å): 5.129 5.188 5.188
angles (deg): 120.00 90.00 90.00
Positions (direct):
O (0.307, 0.988, 0.720)
P (0.500, 0.000, 0.000)
O (0.693, 0.988, 0.268)
O (0.307, 0.732, 0.012)
Na (0.000, 0.333, 0.667)
O (0.693, 0.280, 0.012)
O (0.693, 0.732, 0.720)
U (0.500, 0.667, 0.333)
O (0.307, 0.280, 0.268)

Summary:
**Formation energy (no corrections)**: -2.31 eV per atom
**E_tot**: -7.620 eV per atom

---

# 12
Material: Na2UP2O9
Method: DFT, PBE-GGA
State: optimized geometry

a b c (Å): 7.047 8.276 13.422
angles (deg): 90.00 90.00 90.00
Positions (direct):
O (0.433, 0.770, 0.336)
P (0.756, 0.288, 0.098)
O (0.255, 0.469, 0.672)
P (0.757, 0.847, 0.578)
U (0.256, 0.248, 0.199)
Na (0.492, 0.478, 0.469)
Na (0.763, 0.232, 0.337)
O (0.933, 0.270, 0.164)
Na (0.492, 0.022, 0.969)
O (0.576, 0.282, 0.163)
O (0.086, 0.317, 0.854)
O (0.751, 0.537, 0.775)
O (0.251, 0.463, 0.225)
O (0.755, 0.969, 0.828)
O (0.267, 0.966, 0.455)
O (0.251, 0.255, 0.021)
O (0.433, 0.730, 0.836)
P (0.256, 0.712, 0.902)
O (0.930, 0.799, 0.642)
P (0.257, 0.153, 0.422)
O (0.755, 0.531, 0.328)
P (0.757, 0.653, 0.078)
O (0.586, 0.817, 0.646)
O (0.086, 0.183, 0.354)
O (0.076, 0.782, 0.337)
O (0.751, 0.755, 0.479)
O (0.755, 0.170, 0.012)
O (0.251, 0.245, 0.521)
U (0.756, 0.748, 0.301)
O (0.267, 0.534, 0.955)
O (0.933, 0.230, 0.664)
O (0.430, 0.299, 0.858)
O (0.430, 0.201, 0.358)
O (0.751, 0.963, 0.275)
O (0.251, 0.037, 0.725)
O (0.751, 0.745, 0.979)
O (0.930, 0.701, 0.142)
O (0.255, 0.670, 0.488)
O (0.755, 0.330, 0.512)
Na (0.263, 0.732, 0.163)
Na (0.763, 0.268, 0.837)
O (0.767, 0.034, 0.545)
O (0.255, 0.830, 0.988)
O (0.767, 0.466, 0.045)
O (0.576, 0.218, 0.663)
O (0.076, 0.718, 0.837)
P (0.756, 0.212, 0.598)
P (0.256, 0.788, 0.402)
Na (0.992, 0.522, 0.531)
Na (0.992, 0.978, 0.031)
O (0.255, 0.031, 0.172)
Na (0.263, 0.768, 0.663)
P (0.257, 0.347, 0.922)
U (0.756, 0.752, 0.801)
U (0.256, 0.252, 0.699)
O (0.586, 0.683, 0.146)

Summary:
**Formation energy (no corrections)**: -2.50 eV per atom
**E_tot**: -7.460 eV per atom